CePu2Au | GGA-PBE | relaxed

Cell lengths 5.135, 4.441, 4.441 Å; angles 90.00, 90.00, 90.00 degrees
Site moments in Bohr magnetons follow the coordinates.
Positions (direct):
1 Au 0.500 0.000 0.000  0.07
2 Pu 0.000 0.000 0.500  5.69
3 Ce 0.500 0.500 0.500  0.94
4 Pu 0.000 0.500 0.000  5.69

---

Ce4PuAu | GGA-PBE | relaxed

Cell lengths 6.730, 7.095, 8.272 Å; angles 111.46, 109.90, 98.91 degrees
Positions (direct):
1 Pu 0.665 0.415 0.831
2 Ce 0.541 0.325 0.071
3 Ce 0.326 0.131 0.584
4 Ce 0.241 0.547 0.416
5 Au 0.116 0.866 0.732
6 Pu 0.335 0.585 0.169
7 Ce 0.030 0.746 0.071
8 Ce 0.674 0.869 0.416
9 Ce 0.970 0.254 0.929
10 Ce 0.759 0.453 0.584
11 Ce 0.459 0.675 0.929
12 Au 0.884 0.134 0.268

---

Ce8Pu3Au2 | GGA-PBE | relaxed

Cell lengths 6.407, 9.148, 6.162 Å; angles 102.24, 90.00, 110.50 degrees
Site moments in Bohr magnetons follow the coordinates.
Positions (direct):
1 Ce 0.139 0.732 0.720  0.03
2 Ce 0.861 0.268 0.280  0.03
3 Ce 0.407 0.268 0.280  0.03
4 Ce 0.837 0.674 0.195  0.72
5 Au 0.277 0.555 0.269  0.01
6 Ce 0.593 0.732 0.720  0.03
7 Ce 0.449 0.898 0.277  -0.05
8 Ce 0.551 0.102 0.723  -0.05
9 Pu 0.197 0.000 0.000  -3.81
10 Ce 0.163 0.326 0.805  0.72
11 Pu 0.000 0.000 0.500  5.30
12 Au 0.723 0.445 0.731  0.01
13 Pu 0.803 0.000 0.000  -3.81

---

Ce5Pu2Au2 | GGA-PBE | relaxed

Cell lengths 5.102, 5.102, 8.126 Å; angles 90.00, 90.00, 90.00 degrees
Site moments in Bohr magnetons follow the coordinates.
Positions (direct):
1 Ce 0.037 0.537 0.230  -0.17
2 Ce 0.037 0.537 0.770  -0.17
3 Ce 0.537 0.037 0.230  -0.17
4 Pu 0.537 0.537 0.142  -2.09
5 Pu 0.537 0.537 0.858  -2.09
6 Au 0.037 0.037 0.000  -0.01
7 Ce 0.537 0.037 0.770  -0.17
8 Ce 0.537 0.537 0.500  0.23
9 Au 0.037 0.037 0.500  0.00

---

Ce6PuAu5 | GGA-PBE | relaxed

Cell lengths 5.241, 7.368, 9.058 Å; angles 65.99, 73.22, 90.00 degrees
Site moments in Bohr magnetons follow the coordinates.
Positions (direct):
1 Au 0.333 0.333 0.334  0.00
2 Ce 0.829 0.576 0.342  0.90
3 Ce 0.500 0.742 0.000  0.93
4 Ce 0.829 0.082 0.342  0.90
5 Ce 0.171 0.424 0.658  0.90
6 Pu 0.000 0.000 0.000  5.88
7 Ce 0.500 0.258 0.000  0.93
8 Au 0.344 0.844 0.312  0.02
9 Ce 0.171 0.918 0.658  0.90
10 Au 0.656 0.156 0.688  0.02
11 Au 0.667 0.667 0.666  0.00
12 Au 0.000 0.500 0.000  0.02

---

CePuAu2 | GGA-PBE | relaxed

Cell lengths 8.296, 9.052, 5.211 Å; angles 54.84, 47.59, 41.16 degrees
Site moments in Bohr magnetons follow the coordinates.
Positions (direct):
1 Au 0.724 0.665 0.299  0.00
2 Ce 0.174 0.163 0.476  0.58
3 Au 0.723 0.112 0.852  0.00
4 Ce 0.826 0.837 0.524  0.58
5 Pu 0.738 0.381 0.082  5.37
6 Au 0.277 0.888 0.148  0.00
7 Pu 0.262 0.619 0.918  5.37
8 Au 0.276 0.335 0.701  0.00

---

Ce4PuAu | GGA-PBE | relaxed

Cell lengths 10.751, 10.275, 5.841 Å; angles 90.00, 90.00, 74.13 degrees
Site moments in Bohr magnetons follow the coordinates.
Positions (direct):
1 Pu 0.228 0.717 0.968  4.89
2 Ce 0.239 0.464 0.860  0.09
3 Ce 0.995 0.721 0.807  -0.03
4 Ce 0.469 0.468 0.270  -0.41
5 Ce 0.531 0.532 0.730  -0.41
6 Au 0.252 0.335 0.372  0.00
7 Au 0.248 0.165 0.872  0.00
8 Ce 0.005 0.279 0.193  -0.03
9 Ce 0.969 0.968 0.230  -0.41
10 Au 0.752 0.835 0.128  0.00
11 Ce 0.495 0.221 0.693  -0.03
12 Ce 0.739 0.964 0.640  0.09
13 Ce 0.505 0.779 0.307  -0.03
14 Ce 0.031 0.032 0.770  -0.41
15 Pu 0.772 0.283 0.032  4.89
16 Ce 0.041 0.624 0.361  -0.19
17 Ce 0.261 0.036 0.360  0.09
18 Ce 0.541 0.124 0.139  -0.19
19 Au 0.748 0.665 0.628  0.00
20 Ce 0.459 0.876 0.861  -0.19
21 Ce 0.761 0.536 0.140  0.09
22 Ce 0.959 0.376 0.639  -0.19
23 Pu 0.272 0.783 0.468  4.89
24 Pu 0.728 0.217 0.532  4.89

---

Ce5Pu2Au4 | GGA-PBE | relaxed

Cell lengths 3.648, 9.407, 8.109 Å; angles 106.08, 91.31, 98.40 degrees
Site moments in Bohr magnetons follow the coordinates.
Positions (direct):
1 Ce 0.082 0.692 0.444  0.34
2 Au 0.474 0.408 0.280  0.00
3 Au 0.526 0.592 0.720  0.00
4 Ce 0.918 0.308 0.556  0.34
5 Ce 0.118 0.865 0.899  0.20
6 Pu 0.786 0.926 0.622  5.08
7 Pu 0.214 0.074 0.378  5.08
8 Au 0.604 0.805 0.187  0.01
9 Ce 0.000 0.500 0.000  0.81
10 Au 0.396 0.195 0.813  0.01
11 Ce 0.882 0.135 0.101  0.20

---

Number 1: formation energy -156 meV per atom, calculated volume 25.31 Å³ per atom. Number 2: formation energy -140 meV per atom, calculated volume 27.30 Å³ per atom. Number 3: formation energy -86 meV per atom, calculated volume 25.35 Å³ per atom. Number 4: formation energy -178 meV per atom, calculated volume 23.50 Å³ per atom. Number 5: formation energy -485 meV per atom, calculated volume 25.26 Å³ per atom. Number 6: formation energy -542 meV per atom, calculated volume 23.53 Å³ per atom. Number 7: formation energy -128 meV per atom, calculated volume 25.86 Å³ per atom. Number 8: formation energy -415 meV per atom, calculated volume 23.99 Å³ per atom.